Entry 1:
Density functional theory data (GGA-PBE) for a relaxed MgTl2Cu2Cl6 crystal.

As for the total DFT energy (no corrections): -3.333 eV/atom.

```
data_MgTl2Cu2Cl6
_chemical_formula_sum 'Mg2 Tl4 Cu4 Cl12'
_cell_length_a 12.890
_cell_length_b 7.092
_cell_length_c 7.606
_cell_angle_alpha 90.00
_cell_angle_beta 125.10
_cell_angle_gamma 90.00
_symmetry_space_group_name_H-M 'C 1 2/m 1'
_symmetry_Int_Tables_number 12
_symmetry_space_group_name_Hall '-C 2y'
loop_
_atom_site_label
_atom_site_type_symbol
_atom_site_fract_x
_atom_site_fract_y
_atom_site_fract_z
Mg1 Mg 0.000 0.000 0.000
Tl1 Tl 0.244 0.000 0.716
Cu1 Cu 0.082 0.500 0.786
Cl1 Cl 0.037 0.243 0.270
Cl2 Cl 0.239 0.000 0.188
```

***

Entry 2:
Density functional theory data (GGA-PBE) for a relaxed Mg2TlCuCl6 crystal.

As for the total DFT energy (no corrections): -3.423 eV/atom.

```
data_Mg2TlCuCl6
_chemical_formula_sum 'Mg8 Tl4 Cu4 Cl24'
_cell_length_a 13.651
_cell_length_b 14.149
_cell_length_c 7.117
_cell_angle_alpha 90.00
_cell_angle_beta 109.69
_cell_angle_gamma 90.00
_symmetry_space_group_name_H-M 'C 1 2/c 1'
_symmetry_Int_Tables_number 15
_symmetry_space_group_name_Hall '-C 2yc'
loop_
_atom_site_label
_atom_site_type_symbol
_atom_site_fract_x
_atom_site_fract_y
_atom_site_fract_z
Mg1 Mg 0.187 0.071 0.189
Tl1 Tl 0.000 0.397 0.250
Cu1 Cu 0.000 0.211 0.750
Cl1 Cl 0.115 0.218 0.039
Cl2 Cl 0.127 0.058 0.467
Cl3 Cl 0.133 0.426 0.706
```

***

Entry 3:
Density functional theory data (GGA-PBE) for a relaxed MgTl2CuCl5 crystal.

As for the total DFT energy (no corrections): -3.341 eV/atom.

```
data_MgTl2CuCl5
_chemical_formula_sum 'Mg4 Tl8 Cu4 Cl20'
_cell_length_a 3.897
_cell_length_b 19.179
_cell_length_c 13.107
_cell_angle_alpha 90.00
_cell_angle_beta 90.00
_cell_angle_gamma 90.00
_symmetry_space_group_name_H-M 'C m c 21'
_symmetry_Int_Tables_number 36
_symmetry_space_group_name_Hall 'C 2c -2'
loop_
_atom_site_label
_atom_site_type_symbol
_atom_site_fract_x
_atom_site_fract_y
_atom_site_fract_z
Mg1 Mg 0.000 0.211 0.000
Tl1 Tl 0.000 0.120 0.678
Tl2 Tl 0.000 0.125 0.297
Cu1 Cu 0.000 0.437 0.420
Cl1 Cl 0.000 0.079 0.012
Cl2 Cl 0.000 0.287 0.628
Cl3 Cl 0.000 0.299 0.369
Cl4 Cl 0.000 0.340 0.989
Cl5 Cl 0.000 0.496 0.273
```

***

Entry 4:
Density functional theory data (GGA-PBE) for a relaxed Mn2CuCl crystal.

As for the total DFT energy (no corrections): -5.869 eV/atom.

```
data_Mn2CuCl
_chemical_formula_sum 'Mn6 Cu3 Cl3'
_cell_length_a 2.9891
_cell_length_b 2.9891
_cell_length_c 24.0242
_cell_angle_alpha 90.00
_cell_angle_beta 90.00
_cell_angle_gamma 120.00
_symmetry_space_group_name_H-M 'R 3 m'
_symmetry_Int_Tables_number 160
_symmetry_space_group_name_Hall 'R 3 -2"'
loop_
_atom_site_label
_atom_site_type_symbol
_atom_site_fract_x
_atom_site_fract_y
_atom_site_fract_z
Mn1 Mn 0.0000 0.0000 0.0000
Mn2 Mn 0.0000 0.0000 0.2471
Cu1 Cu 0.0000 0.0000 0.5012
Cl1 Cl 0.0000 0.0000 0.7395
```